Density functional theory data (PBE) for a relaxed LiAuCl2 crystal.

CIF file:
```
data_LiAuCl2
_chemical_formula_sum 'Li3 Au3 Cl6'
_space_group_name_H-M_alt 'R -3 m'
_space_group_IT_number 166
_space_group_name_Hall '-R 3 2"'
_cell_length_a 3.7997
_cell_length_b 3.7997
_cell_length_c 21.8596
_cell_angle_alpha 90.00
_cell_angle_beta 90.00
_cell_angle_gamma 120.00
loop_
_atom_site_label
_atom_site_fract_x
_atom_site_fract_y
_atom_site_fract_z
Li1 0.0000 0.0000 0.0000
Au1 0.0000 0.0000 0.5000
Cl1 0.0000 0.0000 0.3943
```

=====

Density functional theory data (PBE) for a relaxed LiAuCl2 crystal.

CIF file:
```
data_LiAuCl2
_chemical_formula_sum 'Li4 Au4 Cl8'
_space_group_name_H-M_alt 'F -4 3 m'
_space_group_IT_number 216
_space_group_name_Hall 'F -4 2 3'
_cell_length_a 6.812
_cell_length_b 6.812
_cell_length_c 6.812
_cell_angle_alpha 90.00
_cell_angle_beta 90.00
_cell_angle_gamma 90.00
loop_
_atom_site_label
_atom_site_fract_x
_atom_site_fract_y
_atom_site_fract_z
Li1 0.000 0.000 0.000
Au1 0.250 0.250 0.750
Cl1 0.000 0.000 0.500
Cl2 0.250 0.250 0.250
```

=====

Density functional theory data (PBE) for a relaxed LiAuCl crystal.

CIF file:
```
data_LiAuCl
_chemical_formula_sum 'Li2 Au2 Cl2'
_space_group_name_H-M_alt 'P 4/n m m'
_space_group_IT_number 129
_cell_length_a 3.872
_cell_length_b 3.872
_cell_length_c 10.228
_cell_angle_alpha 90.00
_cell_angle_beta 90.00
_cell_angle_gamma 90.00
loop_
_space_group_symop_operation_xyz
'x,y,z'
'-x,-y,-z'
'-y+1/2,x,z'
'y+1/2,-x,-z'
'-x+1/2,-y+1/2,z'
'x+1/2,y+1/2,-z'
'y,-x+1/2,z'
'-y,x+1/2,-z'
'x+1/2,-y,-z'
'-x+1/2,y,z'
'-y,-x,-z'
'y,x,z'
'-x,y+1/2,-z'
'x,-y+1/2,z'
'y+1/2,x+1/2,-z'
'-y+1/2,-x+1/2,z'
loop_
_atom_site_label
_atom_site_fract_x
_atom_site_fract_y
_atom_site_fract_z
Li1 0.250 0.750 0.000
Au1 0.250 0.250 0.494
Cl1 0.250 0.250 0.124
```

=====

Density functional theory data (PBE) for a relaxed Li2Au2Cl crystal.

CIF file:
```
data_Li2Au2Cl
_chemical_formula_sum 'Li4 Au4 Cl2'
_space_group_name_H-M_alt 'I 4/m m m'
_space_group_IT_number 139
_space_group_name_Hall '-I 4 2'
_cell_length_a 5.147
_cell_length_b 5.147
_cell_length_c 8.067
_cell_angle_alpha 90.00
_cell_angle_beta 90.00
_cell_angle_gamma 90.00
loop_
_atom_site_label
_atom_site_fract_x
_atom_site_fract_y
_atom_site_fract_z
Li1 0.000 0.500 0.250
Au1 0.000 0.000 0.163
Cl1 0.000 0.000 0.500
```

=====

Density functional theory data (PBE) for a relaxed LiAuCl2 crystal.

CIF file:
```
data_LiAuCl2
_chemical_formula_sum 'Li3 Au3 Cl6'
_space_group_name_H-M_alt 'R -3 m'
_space_group_IT_number 166
_space_group_name_Hall '-R 3 2"'
_cell_length_a 3.8322
_cell_length_b 3.8322
_cell_length_c 18.8910
_cell_angle_alpha 90.00
_cell_angle_beta 90.00
_cell_angle_gamma 120.00
loop_
_atom_site_label
_atom_site_fract_x
_atom_site_fract_y
_atom_site_fract_z
Li1 0.0000 0.0000 0.0000
Au1 0.0000 0.0000 0.5000
Cl1 0.0000 0.0000 0.2583
```

=====

Density functional theory data (PBE) for a relaxed LiAuCl2 crystal.

CIF file:
```
data_LiAuCl2
_chemical_formula_sum 'Li1 Au1 Cl2'
_space_group_name_H-M_alt 'P 4/m m m'
_space_group_IT_number 123
_space_group_name_Hall '-P 4 2'
_cell_length_a 3.305
_cell_length_b 3.305
_cell_length_c 6.912
_cell_angle_alpha 90.00
_cell_angle_beta 90.00
_cell_angle_gamma 90.00
loop_
_atom_site_label
_atom_site_fract_x
_atom_site_fract_y
_atom_site_fract_z
Li1 0.000 0.000 0.000
Au1 0.000 0.000 0.500
Cl1 0.500 0.500 0.230
```

=====

Density functional theory data (PBE) for a relaxed LiAuCl2 crystal.

CIF file:
```
data_LiAuCl2
_chemical_formula_sum 'Li1 Au1 Cl2'
_space_group_name_H-M_alt 'P 1 m 1'
_space_group_IT_number 6
_space_group_name_Hall 'P -2y'
_cell_length_a 4.184
_cell_length_b 6.566
_cell_length_c 4.187
_cell_angle_alpha 90.00
_cell_angle_beta 115.39
_cell_angle_gamma 90.00
loop_
_atom_site_label
_atom_site_fract_x
_atom_site_fract_y
_atom_site_fract_z
Li1 0.000 0.000 0.000
Au1 0.401 0.500 0.608
Cl1 0.003 0.500 0.007
Cl2 0.342 0.000 0.658
```

=====

Density functional theory data (PBE) for a relaxed LiAu2Cl6 crystal.

CIF file:
```
data_LiAu2Cl6
_chemical_formula_sum 'Li4 Au8 Cl24'
_space_group_name_H-M_alt 'C 1 2/c 1'
_space_group_IT_number 15
_space_group_name_Hall '-C 2yc'
_cell_length_a 13.627
_cell_length_b 12.030
_cell_length_c 6.808
_cell_angle_alpha 90.00
_cell_angle_beta 100.05
_cell_angle_gamma 90.00
loop_
_atom_site_label
_atom_site_fract_x
_atom_site_fract_y
_atom_site_fract_z
Li1 0.000 0.070 0.250
Au1 0.232 0.165 0.771
Cl1 0.095 0.066 0.586
Cl2 0.136 0.237 0.012
Cl3 0.162 0.391 0.442
```

=====

Density functional theory data (PBE) for a relaxed LiAuCl crystal.

CIF file:
```
data_LiAuCl
_chemical_formula_sum 'Li1 Au1 Cl1'
_space_group_name_H-M_alt 'P 3 m 1'
_space_group_IT_number 156
_space_group_name_Hall 'P 3 -2"'
_cell_length_a 3.2343
_cell_length_b 3.2343
_cell_length_c 6.1200
_cell_angle_alpha 90.00
_cell_angle_beta 90.00
_cell_angle_gamma 120.00
loop_
_atom_site_label
_atom_site_fract_x
_atom_site_fract_y
_atom_site_fract_z
Li1 0.0000 0.0000 0.0000
Au1 0.6667 0.3333 0.3756
Cl1 0.3333 0.6667 0.7927
```

=====

Density functional theory data (PBE) for a relaxed LiAuCl crystal.

CIF file:
```
data_LiAuCl
_chemical_formula_sum 'Li1 Au1 Cl1'
_space_group_name_H-M_alt 'P 3 m 1'
_space_group_IT_number 156
_space_group_name_Hall 'P 3 -2"'
_cell_length_a 4.6781
_cell_length_b 4.6781
_cell_length_c 3.1483
_cell_angle_alpha 90.00
_cell_angle_beta 90.00
_cell_angle_gamma 120.00
loop_
_atom_site_label
_atom_site_fract_x
_atom_site_fract_y
_atom_site_fract_z
Li1 0.0000 0.0000 0.0000
Au1 0.6667 0.3333 0.5031
Cl1 0.3333 0.6667 0.5065
```

=====

Density functional theory data (PBE) for a relaxed Li12Au3Cl5 crystal.

CIF file:
```
data_Li12Au3Cl5
_chemical_formula_sum 'Li96 Au24 Cl40'
_space_group_name_H-M_alt 'I a -3 d'
_space_group_IT_number 230
_space_group_name_Hall '-I 4bd 2c 3'
_cell_length_a 14.849
_cell_length_b 14.849
_cell_length_c 14.849
_cell_angle_alpha 90.00
_cell_angle_beta 90.00
_cell_angle_gamma 90.00
loop_
_atom_site_label
_atom_site_fract_x
_atom_site_fract_y
_atom_site_fract_z
Li1 0.015 0.066 0.653
Au1 0.000 0.250 0.125
Cl1 0.000 0.000 0.000
Cl2 0.000 0.250 0.375
```

=====

Density functional theory data (PBE) for a relaxed LiMnAuCl6 crystal.

CIF file:
```
data_LiMnAuCl6
_chemical_formula_sum 'Li2 Mn2 Au2 Cl12'
_space_group_name_H-M_alt 'P -3 1 c'
_space_group_IT_number 163
_space_group_name_Hall '-P 3 2c'
_cell_length_a 6.2616
_cell_length_b 6.2616
_cell_length_c 11.4917
_cell_angle_alpha 90.00
_cell_angle_beta 90.00
_cell_angle_gamma 120.00
loop_
_atom_site_label
_atom_site_fract_x
_atom_site_fract_y
_atom_site_fract_z
Li1 0.3333 0.6667 0.2500
Mn1 0.3333 0.6667 0.7500
Au1 0.0000 0.0000 0.0000
Cl1 0.0275 0.3674 0.6336
```

=====

no.,formation energy without anion corrections (eV per atom),volume (Å³/atom)
1,-0.993,22.78
2,-0.224,19.76
3,-0.937,25.56
4,-0.392,21.37
5,-0.750,20.02
6,-0.576,18.87
7,-0.821,25.98
8,-0.543,30.53
9,-0.615,18.48
10,-0.352,19.89
11,-0.942,20.46
12,-0.841,21.68